Compound: KTcNi
Source: Alexandria via LeMat-Bulk
Functional: PBE
Structure: optimized geometry

E above lowest polymorph ... 305.5 meV/atom
Fermi-level density of states ... 1.12 states/eV per atom
Raw total energy ... -5.018 eV/atom
Formation energy ... 2.19 eV/f.u.
Total moment ... 0.00 μB/atom

The structure in CIF format:
```
data_KTcNi
_cell_length_a 2.641
_cell_length_b 3.789
_cell_length_c 12.425
_cell_angle_alpha 90.00
_cell_angle_beta 90.00
_cell_angle_gamma 90.00
_space_group_name_H-M_alt 'I m m 2'
_space_group_IT_number 44
_space_group_name_Hall 'I 2 -2'
loop_
_atom_site_label
_atom_site_fract_x
_atom_site_fract_y
_atom_site_fract_z
_atom_site_occupancy
K1 0.000 0.000 0.000 1
Tc1 0.000 0.000 0.276 1
Ni1 0.000 0.000 0.708 1
```

=====

Compound: TbSm3Dy3
Source: Alexandria via LeMat-Bulk
Functional: PBE
Structure: optimized geometry

E above lowest polymorph ... 0.0 meV/atom
Fermi-level density of states ... 1.88 states/eV per atom
Raw total energy ... -4.639 eV/atom
Formation energy ... 0.12 eV/f.u.
Total moment ... 0.00 μB/atom

The structure in CIF format:
```
data_TbSm3Dy3
_cell_length_a 9.6202
_cell_length_b 9.6202
_cell_length_c 5.7330
_cell_angle_alpha 90.00
_cell_angle_beta 90.00
_cell_angle_gamma 120.00
_space_group_name_H-M_alt 'P 63/m'
_space_group_IT_number 176
_space_group_name_Hall '-P 6c'
loop_
_atom_site_label
_atom_site_fract_x
_atom_site_fract_y
_atom_site_fract_z
_atom_site_occupancy
Tb1 0.3333 0.6667 0.2500 1
Sm1 0.0481 0.8079 0.2500 1
Dy1 0.0948 0.6177 0.7500 1
```

=====

Compound: K2Si2PbS6
Source: Alexandria via LeMat-Bulk
Functional: PBE
Structure: optimized geometry

Raw total energy ... -4.510 eV/atom
Formation energy without anion corrections ... -8.10 eV per formula unit
Total moment ... 0.00 μB/atom

The structure in CIF format:
```
data_K2Si2PbS6
_cell_length_a 7.0775
_cell_length_b 7.0775
_cell_length_c 23.9686
_cell_angle_alpha 90.00
_cell_angle_beta 90.00
_cell_angle_gamma 120.00
_space_group_name_H-M_alt 'R -3 m'
_space_group_IT_number 166
_space_group_name_Hall '-R 3 2"'
loop_
_atom_site_label
_atom_site_fract_x
_atom_site_fract_y
_atom_site_fract_z
_atom_site_occupancy
K1 0.0000 0.0000 0.2124 1
Si1 0.0000 0.0000 0.4184 1
Pb1 0.0000 0.0000 0.0000 1
S1 0.0003 0.5002 0.2440 1
```

=====

Compound: Mg3GaTc
Source: Alexandria via LeMat-Bulk
Functional: PBE
Structure: optimized geometry

E above lowest polymorph ... 115.0 meV/atom
Fermi-level density of states ... 0.74 states/eV per atom
Raw total energy ... -2.753 eV/atom
Formation energy ... 4.41 eV/f.u.
Total moment ... 0.68 μB/atom

The structure in CIF format:
```
data_Mg3GaTc
_cell_length_a 4.928
_cell_length_b 4.928
_cell_length_c 4.928
_cell_angle_alpha 90.00
_cell_angle_beta 90.00
_cell_angle_gamma 90.00
_space_group_name_H-M_alt 'P m -3 m'
_space_group_IT_number 221
_space_group_name_Hall '-P 4 2 3'
loop_
_atom_site_label
_atom_site_fract_x
_atom_site_fract_y
_atom_site_fract_z
_atom_site_occupancy
Mg1 0.000 0.000 0.500 1
Ga1 0.000 0.000 0.000 1
Tc1 0.500 0.500 0.500 1
```

=====

Compound: KNaAl2Se4
Source: Alexandria via LeMat-Bulk
Functional: PBE
Structure: optimized geometry

Raw total energy ... -3.951 eV/atom
Formation energy without anion corrections ... -7.77 eV per formula unit
Total moment ... 0.00 μB/atom

The structure in CIF format:
```
data_KNaAl2Se4
_cell_length_a 5.634
_cell_length_b 5.634
_cell_length_c 14.730
_cell_angle_alpha 90.00
_cell_angle_beta 90.00
_cell_angle_gamma 90.00
_space_group_name_H-M_alt 'I -4 2 m'
_space_group_IT_number 121
_space_group_name_Hall 'I -4 2'
loop_
_atom_site_label
_atom_site_fract_x
_atom_site_fract_y
_atom_site_fract_z
_atom_site_occupancy
K1 0.000 0.000 0.000 1
Na1 0.000 0.000 0.500 1
Al1 0.000 0.500 0.250 1
Se1 0.237 0.237 0.346 1
```

=====

Compound: AgSCl
Source: Alexandria via LeMat-Bulk
Functional: PBE
Structure: optimized geometry

E above lowest polymorph ... 8.8 meV/atom
Fermi-level density of states ... 0.51 states/eV per atom
Raw total energy ... -3.183 eV/atom
Formation energy without anion corrections ... -0.72 eV per formula unit
Total moment ... 0.00 μB/atom

The structure in CIF format:
```
data_AgSCl
_cell_length_a 3.705
_cell_length_b 6.141
_cell_length_c 6.936
_cell_angle_alpha 75.91
_cell_angle_beta 74.52
_cell_angle_gamma 89.91
_space_group_name_H-M_alt 'P -1'
_space_group_IT_number 2
_space_group_name_Hall '-P 1'
loop_
_atom_site_label
_atom_site_fract_x
_atom_site_fract_y
_atom_site_fract_z
_atom_site_occupancy
Ag1 0.174 0.203 0.150 1
S1 0.460 0.842 0.581 1
Cl1 0.189 0.717 0.123 1
```

=====

Compound: MoSe2Br
Source: Alexandria via LeMat-Bulk
Functional: PBE
Structure: optimized geometry

E above lowest polymorph ... 79.0 meV/atom
Fermi-level density of states ... 0.57 states/eV per atom
Raw total energy ... -5.071 eV/atom
Formation energy without anion corrections ... -0.81 eV per formula unit
Total moment ... 0.00 μB/atom

The structure in CIF format:
```
data_MoSe2Br
_cell_length_a 3.057
_cell_length_b 3.057
_cell_length_c 10.177
_cell_angle_alpha 90.00
_cell_angle_beta 90.00
_cell_angle_gamma 90.00
_space_group_name_H-M_alt 'P 4/m m m'
_space_group_IT_number 123
_space_group_name_Hall '-P 4 2'
loop_
_atom_site_label
_atom_site_fract_x
_atom_site_fract_y
_atom_site_fract_z
_atom_site_occupancy
Mo1 0.000 0.000 0.000 1
Se1 0.500 0.500 0.155 1
Br1 0.000 0.000 0.500 1
```

=====

Compound: Sc6Zn5Ir
Source: Alexandria via LeMat-Bulk
Functional: PBE
Structure: optimized geometry

Fermi-level density of states ... 0.78 states/eV per atom
Raw total energy ... -4.942 eV/atom
Formation energy ... -6.09 eV/f.u.
Total moment ... 0.00 μB/atom

The structure in CIF format:
```
data_Sc6Zn5Ir
_cell_length_a 4.688
_cell_length_b 14.029
_cell_length_c 6.714
_cell_angle_alpha 90.00
_cell_angle_beta 90.00
_cell_angle_gamma 90.00
_space_group_name_H-M_alt 'C m m m'
_space_group_IT_number 65
_space_group_name_Hall '-C 2 2'
loop_
_atom_site_label
_atom_site_fract_x
_atom_site_fract_y
_atom_site_fract_z
_atom_site_occupancy
Sc1 0.000 0.000 0.241 1
Sc2 0.000 0.338 0.245 1
Zn1 0.000 0.168 0.500 1
Zn2 0.000 0.171 0.000 1
Zn3 0.000 0.500 0.500 1
Ir1 0.000 0.500 0.000 1
```

=====

Compound: Dy12CoBi6
Source: Alexandria via LeMat-Bulk
Functional: PBE
Structure: optimized geometry

Fermi-level density of states ... 0.71 states/eV per atom
Raw total energy ... -4.956 eV/atom
Formation energy ... -8.54 eV/f.u.
Total moment ... 0.00 μB/atom

The structure in CIF format:
```
data_Dy12CoBi6
_cell_length_a 13.1949
_cell_length_b 13.1949
_cell_length_c 12.1797
_cell_angle_alpha 90.00
_cell_angle_beta 90.00
_cell_angle_gamma 120.00
_space_group_name_H-M_alt 'R -3'
_space_group_IT_number 148
_space_group_name_Hall '-R 3'
loop_
_atom_site_label
_atom_site_fract_x
_atom_site_fract_y
_atom_site_fract_z
_atom_site_occupancy
Dy1 0.0275 0.8445 0.3848 1
Dy2 0.0635 0.8792 0.8810 1
Co1 0.0000 0.0000 0.0000 1
Bi1 0.0444 0.6231 0.3054 1
```

=====

Compound: YCuAs2O8
Source: Alexandria via LeMat-Bulk
Functional: PBE
Structure: optimized geometry

Fermi-level density of states ... 0.65 states/eV per atom
Raw total energy ... -6.354 eV/atom
Formation energy without anion corrections ... -16.73 eV per formula unit
Total moment ... 0.17 μB/atom

The structure in CIF format:
```
data_YCuAs2O8
_cell_length_a 7.009
_cell_length_b 7.009
_cell_length_c 6.334
_cell_angle_alpha 90.00
_cell_angle_beta 90.00
_cell_angle_gamma 90.00
_space_group_name_H-M_alt 'I -4 m 2'
_space_group_IT_number 119
_space_group_name_Hall 'I -4 -2'
loop_
_atom_site_label
_atom_site_fract_x
_atom_site_fract_y
_atom_site_fract_z
_atom_site_occupancy
Y1 0.000 0.000 0.000 1
Cu1 0.000 0.500 0.250 1
As1 0.000 0.000 0.500 1
As2 0.000 0.500 0.750 1
O1 0.000 0.185 0.319 1
O2 0.000 0.319 0.931 1
```

=====

Compound: PuPa3
Source: Alexandria via LeMat-Bulk
Functional: PBE
Structure: optimized geometry

E above lowest polymorph ... 0.0 meV/atom
Fermi-level density of states ... 1.79 states/eV per atom
Raw total energy ... -10.687 eV/atom
Formation energy ... 0.07 eV/f.u.
Total moment ... 1.03 μB/atom

The structure in CIF format:
```
data_PuPa3
_cell_length_a 4.611
_cell_length_b 4.611
_cell_length_c 4.611
_cell_angle_alpha 90.00
_cell_angle_beta 90.00
_cell_angle_gamma 90.00
_space_group_name_H-M_alt 'P m -3 m'
_space_group_IT_number 221
_space_group_name_Hall '-P 4 2 3'
loop_
_atom_site_label
_atom_site_fract_x
_atom_site_fract_y
_atom_site_fract_z
_atom_site_occupancy
Pu1 0.000 0.000 0.000 1
Pa1 0.000 0.500 0.500 1
```

=====

- Which value of raw total energy does entry 4 give?
  -2.753 eV/atom